# 1
## PbI2N2 (PBE)

Data for a geometry-optimized PbI2N2 structure.

Unit cell a=5.9387 b=5.9387 c=5.8070 alpha=59.25 beta=59.25 gamma=90.00
With the nearest neighbours (Å) after each atom.
Fractional positions:
I (0.7500, 0.2500, 0.5000)  4 N 3.30, 4 Pb 3.58
Pb (0.0000, 0.0000, 0.0000)  2 N 3.45, 8 I 3.58
N (0.5697, 0.5697, 0.8607)  1 N 1.12
N (0.4303, 0.4303, 0.1393)  1 N 1.12
I (0.2500, 0.7500, 0.5000)  4 N 3.30, 4 Pb 3.58

Computed properties:
The energy above the most stable polymorph in this dataset comes out at 1.01 eV per formula unit. For the total energy, the calculation gives -4.88 eV per atom.

# 2
## TaCdSe2 (PBE)

Data for a geometry-optimized TaCdSe2 structure.

Unit cell a=7.3492 b=7.3492 c=7.3613 alpha=60.05 beta=60.05 gamma=90.00
With the nearest neighbours (Å) after each atom.
Fractional positions:
Ta (0.0000, 0.0000, 0.0000)  4 Se 2.45
Cd (0.2500, 0.7500, 0.5000)  4 Se 3.52
Se (0.0076, 0.6250, 0.2500)  2 Ta 2.45
Se (0.8750, 0.9924, 0.7500)  2 Ta 2.45
Ta (0.7500, 0.2500, 0.5000)  4 Se 2.45
Cd (0.5000, 0.5000, 0.0000)  4 Se 3.52
Se (0.7424, 0.1250, 0.2500)  2 Ta 2.45
Se (0.3750, 0.2576, 0.7500)  2 Ta 2.45

Computed properties:
For the total energy, the calculation gives -4.95 eV per atom.

# 3
## Zr2MoW (PBE)

Data for a geometry-optimized Zr2MoW structure.

Unit cell a=4.5880 b=2.9546 c=5.5710 alpha=81.08 beta=90.00 gamma=90.00
With the nearest neighbours (Å) after each atom.
Fractional positions:
Zr (0.0000, 0.0133, 0.0006)  2 Mo 2.83, 2 W 2.86, 4 Zr 2.92-2.97
W (0.5000, 0.7500, 0.7500)  4 Zr 2.86, 2 Mo 2.94, 2 W 2.95
Zr (0.0000, 0.4867, 0.4994)  2 Mo 2.83, 2 W 2.86, 4 Zr 2.92-2.97
Mo (0.5000, 0.2500, 0.2500)  4 Zr 2.83, 2 W 2.94, 2 Mo 2.95

Computed properties:
The energy above the most stable polymorph in this dataset comes out at 0.51 eV per formula unit. For the total energy, the calculation gives -10.07 eV per atom. Its energy of formation is 0.155 eV per atom.

# 4
## CdInSi2 (PBE)

Data for a geometry-optimized CdInSi2 structure.

Unit cell a=11.1171 b=11.1171 c=11.1171 alpha=15.25 beta=15.25 gamma=15.25
With the nearest neighbours (Å) after each atom.
Fractional positions:
Cd (0.2500, 0.2500, 0.2500)  6 Cd 2.95, 6 Si 3.16
In (0.7500, 0.7500, 0.7500)  6 In 2.95, 6 Si 3.30
Si (0.9975, 0.9975, 0.9975)  6 Si 2.95, 3 Cd 3.16, 3 In 3.30
Si (0.5025, 0.5025, 0.5025)  6 Si 2.95, 3 Cd 3.16, 3 In 3.30

Computed properties:
The energy above the most stable polymorph in this dataset comes out at 1.01 eV per formula unit. For the total energy, the calculation gives -3.10 eV per atom.

# 5
## Fe2CoIr (PBE)

Data for a geometry-optimized Fe2CoIr structure.

Unit cell a=2.6020 b=2.6020 c=8.2944 alpha=90.00 beta=90.00 gamma=114.01
With the nearest neighbours (Å) after each atom.
Fractional positions:
Co (0.5000, 0.5000, 0.7500)  4 Fe 2.42, 4 Co 2.60
Fe (0.0000, 0.0000, 0.9867)  2 Co 2.42, 4 Fe 2.60, 2 Ir 2.60
Fe (0.0000, 0.0000, 0.5133)  2 Co 2.42, 4 Fe 2.60, 2 Ir 2.60
Ir (0.5000, 0.5000, 0.2500)  6 Ir 2.60-2.83, 4 Fe 2.60

Computed properties:
For the total energy, the calculation gives -8.14 eV per atom. Its energy of formation is 0.087 eV per atom.

# 6
## PmSnBi (PBE)

Data for a geometry-optimized PmSnBi structure.

Unit cell a=4.4960 b=4.5669 c=8.8273 alpha=74.97 beta=90.00 gamma=90.00
With the nearest neighbours (Å) after each atom.
Fractional positions:
Pm (0.2500, 0.3979, 0.7052)  4 Bi 3.24-3.25, 4 Sn 3.38-3.39
Sn (0.7500, 0.2493, 0.0011)  4 Sn 3.20-3.21, 4 Pm 3.38-3.39
Sn (0.2500, 0.7507, 0.9989)  4 Sn 3.20-3.21, 4 Pm 3.38-3.39
Pm (0.7500, 0.6021, 0.2948)  4 Bi 3.24-3.25, 4 Sn 3.38-3.39
Bi (0.2500, 0.0715, 0.3553)  4 Pm 3.24-3.25, 2 Bi 3.34
Bi (0.7500, 0.9285, 0.6447)  4 Pm 3.24-3.25, 2 Bi 3.34

Computed properties:
The energy above the most stable polymorph in this dataset comes out at 0.13 eV per formula unit. For the total energy, the calculation gives -4.84 eV per atom. Its energy of formation is -0.624 eV per atom.